Material: KRbPd3
Method: DFT, GGA-PBE
State: optimized geometry

```
data_KRbPd3
_chemical_formula_sum 'K1 Rb1 Pd3'
_cell_length_a 5.4341
_cell_length_b 5.4341
_cell_length_c 5.4341
_cell_angle_alpha 90.00
_cell_angle_beta 90.00
_cell_angle_gamma 90.00
_space_group_name_H-M_alt 'P m -3 m'
_space_group_IT_number 221
_space_group_name_Hall '-P 4 2 3'
loop_
_atom_site_label
_atom_site_fract_x
_atom_site_fract_y
_atom_site_fract_z
K1 0.0000 0.0000 0.0000
Rb1 0.5000 0.5000 0.5000
Pd1 0.0000 0.5000 0.5000
```

Summary:
V   32.1 Å³/atom
Theoretical density   4.6 g/cm³
DOS at the Fermi energy   1.3 states/eV per cell
Energy of formation   974 meV/atom